First-principles (PBE-GGA) data for a relaxed AcDy9Ho2 crystal, as listed in Alexandria via LeMat-Bulk.

Cell and atoms, written as POSCAR:
```
AcDy9Ho2
1.0
5.0514 0.0000 0.0000
0.0000 5.0514 0.0000
0.0000 0.0000 15.1888
Ac Dy Ho
1 9 2
Direct
0.0000 0.0000 0.0000
0.0000 0.5000 0.1742
0.0000 0.5000 0.5000
0.0000 0.5000 0.8258
0.5000 0.0000 0.1742
0.5000 0.0000 0.5000
0.5000 0.0000 0.8258
0.5000 0.5000 0.0000
0.5000 0.5000 0.3376
0.5000 0.5000 0.6624
0.0000 0.0000 0.3362
0.0000 0.0000 0.6638
```

## Properties
N(E_F)	1.47	states/eV/atom
calculated formation energy	43	kJ/mol of formula units

First-principles (PBE-GGA) data for a relaxed AcDy4Ho3 crystal, as listed in Alexandria via LeMat-Bulk.

Cell and atoms, written as POSCAR:
```
AcDy4Ho3
1.0
-1.7710 5.8098 6.5258
1.7710 -5.8098 6.5258
1.7710 5.8098 -6.5258
Ac Dy Ho
1 4 3
Direct
0.0000 0.0000 0.0000
0.1215 0.3622 0.7593
0.3971 0.6378 0.7593
0.6029 0.3622 0.2407
0.8785 0.6378 0.2407
0.2623 0.7623 0.5000
0.5000 0.5000 0.0000
0.7377 0.2377 0.5000
```

## Properties
N(E_F)	1.84	states/eV/atom
calculated formation energy	98	kJ/mol of formula units

First-principles (PBE-GGA) data for a relaxed AcDy4Ho crystal, as listed in Alexandria via LeMat-Bulk.

Cell and atoms, written as POSCAR:
```
AcDy4Ho
1.0
3.6231 0.0000 0.0000
0.0000 3.6231 0.0000
0.0000 0.0000 15.2621
Ac Dy Ho
1 4 1
Direct
0.0000 0.0000 0.0000
0.0000 0.0000 0.3397
0.0000 0.0000 0.6603
0.5000 0.5000 0.1801
0.5000 0.5000 0.8199
0.5000 0.5000 0.5000
```

## Properties
N(E_F)	1.47	states/eV/atom
calculated formation energy	29	kJ/mol of formula units

First-principles (PBE-GGA) data for a relaxed AcDy8Ho3 crystal, as listed in Alexandria via LeMat-Bulk.

Cell and atoms, written as POSCAR:
```
AcDy8Ho3
1.0
-3.1786 5.7184 5.7780
3.1786 -5.7184 5.7780
3.1786 5.7184 -5.7780
Ac Dy Ho
1 8 3
Direct
0.0000 0.0000 0.0000
0.0795 0.8270 0.2526
0.2665 0.0246 0.7581
0.2665 0.5083 0.2419
0.4256 0.1730 0.2526
0.5744 0.8270 0.7474
0.7335 0.4917 0.7581
0.7335 0.9754 0.2419
0.9205 0.1730 0.7474
0.2680 0.5000 0.7680
0.5000 0.0000 0.5000
0.7320 0.5000 0.2320
```

## Properties
N(E_F)	1.35	states/eV/atom
calculated formation energy	391	kJ/mol of formula units

First-principles (PBE-GGA) data for a relaxed AcDy4Ho2 crystal, as listed in Alexandria via LeMat-Bulk.

Cell and atoms, written as POSCAR:
```
AcDy4Ho2
1.0
7.1304 0.0000 0.0000
-1.7524 8.4840 0.0000
-1.8050 -4.2270 7.6874
Ac Dy Ho
2 8 4
Direct
0.0000 0.0000 0.0000
0.0834 0.7496 0.5637
0.1976 0.3185 0.4581
0.3019 0.8786 0.2853
0.3921 0.4342 0.1177
0.4965 0.9908 0.9892
0.6073 0.5825 0.8480
0.6917 0.3156 0.4462
0.8858 0.4314 0.1056
0.9689 0.1652 0.7070
0.1146 0.5844 0.8566
0.4764 0.1671 0.7157
0.5873 0.7588 0.5738
0.7827 0.8709 0.2788
```

## Properties
N(E_F)	1.49	states/eV/atom
calculated formation energy	42	kJ/mol of formula units

First-principles (PBE-GGA) data for a relaxed AcDyHo crystal, as listed in Alexandria via LeMat-Bulk.

Cell and atoms, written as POSCAR:
```
AcDyHo
1.0
6.4809 0.0000 0.0000
0.0000 11.9890 0.0000
-2.9408 0.0000 5.4530
Ac Dy Ho
4 4 4
Direct
0.1672 0.1334 0.1567
0.1672 0.3666 0.6567
0.8328 0.6334 0.3433
0.8328 0.8666 0.8433
0.1855 0.6139 0.0132
0.1855 0.8861 0.5132
0.8145 0.1139 0.4868
0.8145 0.3861 0.9868
0.4819 0.6176 0.6598
0.4819 0.8824 0.1598
0.5181 0.1176 0.8402
0.5181 0.3824 0.3402
```

## Properties
N(E_F)	1.26	states/eV/atom
calculated formation energy	21	kJ/mol of formula units

First-principles (PBE-GGA) data for a relaxed AcDyHo5 crystal, as listed in Alexandria via LeMat-Bulk.

Cell and atoms, written as POSCAR:
```
AcDyHo5
1.0
5.9043 -3.3821 0.0000
5.9043 3.3821 0.0000
-4.1159 0.0000 11.7192
Ac Dy Ho
2 2 10
Direct
0.0000 0.5000 0.0000
0.5000 0.0000 0.5000
0.0307 0.9693 0.7500
0.9693 0.0307 0.2500
0.1286 0.4196 0.7382
0.2048 0.6612 0.5043
0.3388 0.7952 0.9957
0.4196 0.1286 0.2382
0.4205 0.5795 0.2500
0.5795 0.4205 0.7500
0.5804 0.8714 0.7618
0.6612 0.2048 0.0043
0.7952 0.3388 0.4957
0.8714 0.5804 0.2618
```

## Properties
N(E_F)	1.38	states/eV/atom
calculated formation energy	134	kJ/mol of formula units

First-principles (PBE-GGA) data for a relaxed AcDyHoIn crystal, as listed in Alexandria via LeMat-Bulk.

Cell and atoms, written as POSCAR:
```
AcDyHoIn
1.0
0.0000 3.9582 3.9582
3.9582 0.0000 3.9582
3.9582 3.9582 0.0000
Ac Dy Ho In
1 1 1 1
Direct
0.0000 0.0000 0.0000
0.2500 0.2500 0.2500
0.7500 0.7500 0.7500
0.5000 0.5000 0.5000
```

## Properties
N(E_F)	1.85	states/eV/atom
calculated formation energy	-9	kJ/mol of formula units

First-principles (PBE-GGA) data for a relaxed AcLa2Dy4Ho crystal, as listed in Alexandria via LeMat-Bulk.

Cell and atoms, written as POSCAR:
```
AcLa2Dy4Ho
1.0
7.3519 0.0000 0.0000
0.0365 7.3698 0.0000
0.0084 0.0069 10.1056
Ac La Dy Ho
2 4 8 2
Direct
0.0000 0.0000 0.0000
0.5005 0.0000 0.5000
0.0004 0.5000 0.0000
0.0000 0.5007 0.5001
0.0005 0.0008 0.5000
0.4999 0.4999 0.5000
0.2548 0.2538 0.2456
0.2547 0.2535 0.7541
0.2548 0.7469 0.2458
0.2546 0.7468 0.7541
0.7455 0.2538 0.7543
0.7459 0.2538 0.2459
0.7458 0.7470 0.2459
0.7455 0.7469 0.7543
0.5001 0.0005 0.0001
0.5003 0.5005 0.0000
```

## Properties
N(E_F)	1.32	states/eV/atom
calculated formation energy	25	kJ/mol of formula units

First-principles (PBE-GGA) data for a relaxed AcLa3DyHo crystal, as listed in Alexandria via LeMat-Bulk.

Cell and atoms, written as POSCAR:
```
AcLa3DyHo
1.0
8.2146 0.0000 0.0000
0.0000 5.3000 0.0000
-3.4272 0.0000 10.0346
Ac La Dy Ho
2 6 2 2
Direct
0.1732 0.2500 0.2928
0.8268 0.7500 0.7072
0.1724 0.7500 0.5459
0.1739 0.7500 0.0405
0.1755 0.2500 0.7939
0.8245 0.7500 0.2061
0.8261 0.2500 0.9595
0.8276 0.2500 0.4541
0.4978 0.2500 0.6273
0.5022 0.7500 0.3727
0.4979 0.7500 0.8770
0.5021 0.2500 0.1230
```

## Properties
N(E_F)	1.89	states/eV/atom
calculated formation energy	23	kJ/mol of formula units

First-principles (PBE-GGA) data for a relaxed AcLa2Dy2Ho2 crystal, as listed in Alexandria via LeMat-Bulk.

Cell and atoms, written as POSCAR:
```
AcLa2Dy2Ho2
1.0
5.8045 -2.5967 0.0000
5.8045 2.5967 0.0000
-1.2144 0.0000 8.0880
Ac La Dy Ho
1 2 2 2
Direct
0.0000 0.0000 0.0000
0.2848 0.2848 0.8485
0.7152 0.7152 0.1515
0.1412 0.1412 0.4315
0.8588 0.8588 0.5685
0.4255 0.4255 0.2972
0.5745 0.5745 0.7028
```

## Properties
N(E_F)	1.69	states/eV/atom
calculated formation energy	32	kJ/mol of formula units

First-principles (PBE-GGA) data for a relaxed AcLaDyHo2 crystal, as listed in Alexandria via LeMat-Bulk.

Cell and atoms, written as POSCAR:
```
AcLaDyHo2
1.0
6.4092 0.0000 0.0000
0.0000 5.8795 0.0000
-3.1796 0.0000 9.3116
Ac La Dy Ho
2 2 2 4
Direct
0.0696 0.2500 0.3046
0.9304 0.7500 0.6954
0.1391 0.7500 0.0980
0.8609 0.2500 0.9020
0.3372 0.7500 0.5034
0.6628 0.2500 0.4966
0.2779 0.2500 0.7042
0.4674 0.2500 0.0975
0.5326 0.7500 0.9025
0.7221 0.7500 0.2958
```

## Properties
N(E_F)	1.67	states/eV/atom
calculated formation energy	23	kJ/mol of formula units

First-principles (PBE-GGA) data for a relaxed AcLa4DyHo2 crystal, as listed in Alexandria via LeMat-Bulk.

Cell and atoms, written as POSCAR:
```
AcLa4DyHo2
1.0
5.8020 -2.6256 0.0000
5.8020 2.6256 0.0000
-4.7874 0.0000 9.3799
Ac La Dy Ho
1 4 1 2
Direct
0.0000 0.0000 0.0000
0.2464 0.2464 0.8689
0.2515 0.2515 0.3777
0.7485 0.7485 0.6223
0.7536 0.7536 0.1311
0.0000 0.0000 0.5000
0.4995 0.4995 0.2563
0.5005 0.5005 0.7437
```

## Properties
N(E_F)	1.71	states/eV/atom
calculated formation energy	28	kJ/mol of formula units

First-principles (PBE-GGA) data for a relaxed AcLaDyHo crystal, as listed in Alexandria via LeMat-Bulk.

Cell and atoms, written as POSCAR:
```
AcLaDyHo
1.0
0.0000 4.1667 4.1667
4.1667 0.0000 4.1667
4.1667 4.1667 0.0000
Ac La Dy Ho
1 1 1 1
Direct
0.0000 0.0000 0.0000
0.5000 0.5000 0.5000
0.7500 0.7500 0.7500
0.2500 0.2500 0.2500
```

## Properties
N(E_F)	1.71	states/eV/atom
calculated formation energy	37	kJ/mol of formula units

First-principles (PBE-GGA) data for a relaxed AcLa5Dy2Ho crystal, as listed in Alexandria via LeMat-Bulk.

Cell and atoms, written as POSCAR:
```
AcLa5Dy2Ho
1.0
-4.7492 4.7492 7.3866
4.7492 -4.7492 7.3866
4.7492 4.7492 -7.3866
Ac La Dy Ho
2 10 4 2
Direct
0.2500 0.2500 0.0000
0.7500 0.7500 0.0000
0.0000 0.0000 0.0000
0.0698 0.5698 0.8971
0.1727 0.0698 0.5000
0.3273 0.8273 0.8971
0.4302 0.3273 0.5000
0.5000 0.5000 0.0000
0.5698 0.6727 0.5000
0.6727 0.1727 0.1029
0.8273 0.9302 0.5000
0.9302 0.4302 0.1029
0.1098 0.3902 0.5000
0.3902 0.8902 0.2804
0.6098 0.1098 0.7196
0.8902 0.6098 0.5000
0.2500 0.7500 0.5000
0.7500 0.2500 0.5000
```

## Properties
N(E_F)	1.70	states/eV/atom
calculated formation energy	231	kJ/mol of formula units

First-principles (PBE-GGA) data for a relaxed AcLa4Dy2Ho crystal, as listed in Alexandria via LeMat-Bulk.

Cell and atoms, written as POSCAR:
```
AcLa4Dy2Ho
1.0
5.8052 -2.6273 0.0000
5.8052 2.6273 0.0000
-4.7867 0.0000 9.3868
Ac La Dy Ho
1 4 2 1
Direct
0.0000 0.0000 0.0000
0.2462 0.2462 0.8687
0.2519 0.2519 0.3777
0.7481 0.7481 0.6223
0.7538 0.7538 0.1313
0.4995 0.4995 0.2562
0.5005 0.5005 0.7438
0.0000 0.0000 0.5000
```

## Properties
N(E_F)	1.72	states/eV/atom
calculated formation energy	28	kJ/mol of formula units

First-principles (PBE-GGA) data for a relaxed AcLa5DyHo2 crystal, as listed in Alexandria via LeMat-Bulk.

Cell and atoms, written as POSCAR:
```
AcLa5DyHo2
1.0
2.8164 -12.3314 0.0000
2.8164 12.3314 0.0000
0.0000 0.0000 9.6034
Ac La Dy Ho
2 10 2 4
Direct
0.1030 0.8970 0.5000
0.8970 0.1030 0.0000
0.0248 0.9752 0.1691
0.1078 0.8922 0.8950
0.1889 0.8111 0.2027
0.2411 0.7589 0.5692
0.4906 0.5094 0.3845
0.5094 0.4906 0.8845
0.7589 0.2411 0.0692
0.8111 0.1889 0.7027
0.8922 0.1078 0.3950
0.9752 0.0248 0.6691
0.2681 0.7319 0.8934
0.7319 0.2681 0.3934
0.3258 0.6742 0.2506
0.3882 0.6118 0.6390
0.6118 0.3882 0.1390
0.6742 0.3258 0.7506
```

## Properties
N(E_F)	1.41	states/eV/atom
calculated formation energy	125	kJ/mol of formula units

First-principles (PBE-GGA) data for a relaxed AcLa2Dy5Ho crystal, as listed in Alexandria via LeMat-Bulk.

Cell and atoms, written as POSCAR:
```
AcLa2Dy5Ho
1.0
-4.4053 4.4053 7.9502
4.4053 -4.4053 7.9502
4.4053 4.4053 -7.9502
Ac La Dy Ho
2 4 10 2
Direct
0.2500 0.2500 0.0000
0.7500 0.7500 0.0000
0.1173 0.6173 0.7345
0.3827 0.1173 0.5000
0.6173 0.8827 0.5000
0.8827 0.3827 0.2655
0.0000 0.0000 0.0000
0.0749 0.1518 0.5000
0.1518 0.6518 0.0769
0.3482 0.4251 0.5000
0.4251 0.9251 0.0769
0.5000 0.5000 0.0000
0.5749 0.0749 0.9231
0.6518 0.5749 0.5000
0.8482 0.3482 0.9231
0.9251 0.8482 0.5000
0.2500 0.7500 0.5000
0.7500 0.2500 0.5000
```

## Properties
N(E_F)	1.24	states/eV/atom
calculated formation energy	220	kJ/mol of formula units

First-principles (PBE-GGA) data for a relaxed AcLa6Dy2Ho crystal, as listed in Alexandria via LeMat-Bulk.

Cell and atoms, written as POSCAR:
```
AcLa6Dy2Ho
1.0
4.7333 -7.7847 0.0000
4.7333 7.7847 0.0000
-1.2674 0.0000 9.8794
Ac La Dy Ho
2 12 4 2
Direct
0.0250 0.9750 0.7500
0.9750 0.0250 0.2500
0.0035 0.5532 0.6879
0.1150 0.7529 0.0507
0.2471 0.8850 0.4493
0.2955 0.5085 0.8793
0.4468 0.9965 0.8121
0.4915 0.7045 0.6207
0.5085 0.2955 0.3793
0.5532 0.0035 0.1879
0.7045 0.4915 0.1207
0.7529 0.1150 0.5507
0.8850 0.2471 0.9493
0.9965 0.4468 0.3121
0.2033 0.3052 0.5459
0.3052 0.2033 0.0459
0.6948 0.7967 0.9541
0.7967 0.6948 0.4541
0.4117 0.5883 0.2500
0.5883 0.4117 0.7500
```

## Properties
N(E_F)	1.53	states/eV/atom
calculated formation energy	105	kJ/mol of formula units

First-principles (PBE-GGA) data for a relaxed Ac2La5DyHo crystal, as listed in Alexandria via LeMat-Bulk.

Cell and atoms, written as POSCAR:
```
Ac2La5DyHo
1.0
2.8378 -11.3302 0.0000
2.8378 11.3302 0.0000
0.0000 0.0000 10.6183
Ac La Dy Ho
4 10 2 2
Direct
0.1158 0.8842 0.5146
0.1158 0.8842 0.9854
0.8842 0.1158 0.0146
0.8842 0.1158 0.4854
0.0051 0.9949 0.2500
0.2775 0.7225 0.5610
0.2775 0.7225 0.9390
0.3759 0.6241 0.2500
0.5000 0.5000 0.0000
0.5000 0.5000 0.5000
0.6241 0.3759 0.7500
0.7225 0.2775 0.0610
0.7225 0.2775 0.4390
0.9949 0.0051 0.7500
0.2130 0.7870 0.2500
0.7870 0.2130 0.7500
0.3968 0.6032 0.7500
0.6032 0.3968 0.2500
```

## Properties
N(E_F)	1.48	states/eV/atom
calculated formation energy	88	kJ/mol of formula units